VASP calculation (PBE) on a relaxed structure of Np2GaO11.

Properties
E   -215.02 eV/cell
Energy relative to the elements, uncorrected   -1.72 eV per atom
Total magnetic moment   1.00 μB per formula unit

Lattice parameters (Å, degrees): 13.460 9.138 8.814 45.14 40.22 42.56
Site moments in Bohr magnetons follow the coordinates.
Atoms (fractional coordinates):
O 0.808 0.538 0.672  0.00
O 0.089 0.154 0.509  0.00
O 0.379 0.623 0.151  0.01
Ga 0.261 0.257 0.249  0.00
O 0.513 0.981 0.826  0.01
O 0.142 0.028 0.185  0.00
O 0.749 0.654 0.009  0.00
O 0.130 0.925 0.959  0.20
O 0.870 0.106 0.026  0.20
Ga 0.734 0.757 0.749  0.00
Np 0.303 0.243 0.803  0.04
O 0.859 0.978 0.815  0.02
Np 0.843 0.270 0.694  0.04
O 0.847 0.478 0.315  0.02
O 0.564 0.404 0.520  0.33
O 0.482 0.038 0.172  0.00
O 0.246 0.362 0.987  0.00
O 0.486 0.425 0.459  0.20
Np 0.692 0.770 0.194  0.04
O 0.180 0.481 0.326  0.01
O 0.650 0.882 0.352  0.01
O 0.905 0.862 0.487  0.00
O 0.346 0.123 0.651  0.01
Np 0.151 0.743 0.303  0.04
O 0.145 0.528 0.685  0.00
O 0.616 0.382 0.852  0.01
O 0.497 0.606 0.526  0.20
O 0.012 0.904 0.021  0.33